# 1
# Ti5CuOs4 | Alexandria via LeMat-Bulk | PBE-GGA | optimized geometry
# - DFT formation energy: -0.577 eV/atom
data_Ti5CuOs4
_symmetry_space_group_name_H-M 'P 4/m m m'
_symmetry_Int_Tables_number 123
_symmetry_space_group_name_Hall '-P 4 2'
_cell_length_a 3.092
_cell_length_b 3.092
_cell_length_c 15.481
_cell_angle_alpha 90.00
_cell_angle_beta 90.00
_cell_angle_gamma 90.00
loop_
_atom_site_label
_atom_site_type_symbol
_atom_site_fract_x
_atom_site_fract_y
_atom_site_fract_z
Ti1 Ti 0.000 0.000 0.000
Ti2 Ti 0.000 0.000 0.200
Ti3 Ti 0.000 0.000 0.400
Cu1 Cu 0.500 0.500 0.500
Os1 Os 0.500 0.500 0.100
Os2 Os 0.500 0.500 0.302


# 2
# AcPmSN | Alexandria via LeMat-Bulk | PBE-GGA | optimized geometry
# - Formation energy from raw total energies: -1.55 eV/atom
data_AcPmSN
_symmetry_space_group_name_H-M 'R 3 m'
_symmetry_Int_Tables_number 160
_symmetry_space_group_name_Hall 'R 3 -2"'
_cell_length_a 3.8333
_cell_length_b 3.8333
_cell_length_c 20.9286
_cell_angle_alpha 90.00
_cell_angle_beta 90.00
_cell_angle_gamma 120.00
loop_
_atom_site_label
_atom_site_type_symbol
_atom_site_fract_x
_atom_site_fract_y
_atom_site_fract_z
Ac1 Ac 0.0000 0.0000 0.0000
Pm1 Pm 0.0000 0.0000 0.1944
S1 S 0.0000 0.0000 0.4358
N1 N 0.0000 0.0000 0.5932


# 3
# Rb5C | Alexandria via LeMat-Bulk | PBE-GGA | optimized geometry
# - DFT formation energy: 0.808 eV/atom
data_Rb5C
_symmetry_space_group_name_H-M 'P 4/m m m'
_symmetry_Int_Tables_number 123
_symmetry_space_group_name_Hall '-P 4 2'
_cell_length_a 4.345
_cell_length_b 4.345
_cell_length_c 20.256
_cell_angle_alpha 90.00
_cell_angle_beta 90.00
_cell_angle_gamma 90.00
loop_
_atom_site_label
_atom_site_type_symbol
_atom_site_fract_x
_atom_site_fract_y
_atom_site_fract_z
Rb1 Rb 0.000 0.000 0.000
Rb2 Rb 0.000 0.000 0.415
Rb3 Rb 0.500 0.500 0.205
C1 C 0.500 0.500 0.500


# 4
# Sm2TmHfSb4 | Alexandria via LeMat-Bulk | PBE-GGA | optimized geometry
# - Formation energy from raw total energies: -0.95 eV/atom
data_Sm2TmHfSb4
_symmetry_space_group_name_H-M 'P 1 2/m 1'
_symmetry_Int_Tables_number 10
_cell_length_a 7.507
_cell_length_b 4.334
_cell_length_c 7.513
_cell_angle_alpha 90.00
_cell_angle_beta 109.32
_cell_angle_gamma 90.00
loop_
_symmetry_equiv_pos_as_xyz
'x,y,z'
'-x,-y,-z'
'-x,y,-z'
'x,-y,z'
loop_
_atom_site_label
_atom_site_type_symbol
_atom_site_fract_x
_atom_site_fract_y
_atom_site_fract_z
Sm1 Sm 0.000 0.000 0.000
Sm2 Sm 0.500 0.500 0.000
Tm1 Tm 0.000 0.500 0.500
Hf1 Hf 0.500 0.000 0.500
Sb1 Sb 0.252 0.000 0.735
Sb2 Sb 0.263 0.500 0.269


# 5
# NdH3Rh2 | Alexandria via LeMat-Bulk | PBE-GGA | optimized geometry
# - Energy: -5.25 eV per atom
data_NdH3Rh2
_symmetry_space_group_name_H-M 'C m c m'
_symmetry_Int_Tables_number 63
_symmetry_space_group_name_Hall '-C 2c 2'
_cell_length_a 6.902
_cell_length_b 8.268
_cell_length_c 5.466
_cell_angle_alpha 90.00
_cell_angle_beta 90.00
_cell_angle_gamma 90.00
loop_
_atom_site_label
_atom_site_type_symbol
_atom_site_fract_x
_atom_site_fract_y
_atom_site_fract_z
Nd1 Nd 0.000 0.203 0.250
H1 H 0.000 0.481 0.750
H2 H 0.162 0.070 0.750
Rh1 Rh 0.201 0.500 0.000


# 6
# Pr13Tl2 | Alexandria via LeMat-Bulk | PBE-GGA | optimized geometry
# - DFT formation energy: -0.062 eV/atom
data_Pr13Tl2
_symmetry_space_group_name_H-M 'P -1'
_symmetry_Int_Tables_number 2
_cell_length_a 6.807
_cell_length_b 9.177
_cell_length_c 9.292
_cell_angle_alpha 65.34
_cell_angle_beta 81.44
_cell_angle_gamma 82.23
loop_
_symmetry_equiv_pos_as_xyz
'x,y,z'
'-x,-y,-z'
loop_
_atom_site_label
_atom_site_type_symbol
_atom_site_fract_x
_atom_site_fract_y
_atom_site_fract_z
Pr1 Pr 0.000 0.000 0.000
Pr2 Pr 0.096 0.434 0.749
Pr3 Pr 0.195 0.196 0.209
Pr4 Pr 0.285 0.964 0.634
Pr5 Pr 0.300 0.627 0.973
Pr6 Pr 0.405 0.390 0.408
Pr7 Pr 0.472 0.829 0.178
Tl1 Tl 0.090 0.768 0.438


# 7
# SrCe2Pb | Alexandria via LeMat-Bulk | PBE-GGA | optimized geometry
# - DFT formation energy: 0.174 eV/atom
data_SrCe2Pb
_symmetry_space_group_name_H-M 'R -3 m'
_symmetry_Int_Tables_number 166
_symmetry_space_group_name_Hall '-R 3 2"'
_cell_length_a 3.5369
_cell_length_b 3.5369
_cell_length_c 37.6277
_cell_angle_alpha 90.00
_cell_angle_beta 90.00
_cell_angle_gamma 120.00
loop_
_atom_site_label
_atom_site_type_symbol
_atom_site_fract_x
_atom_site_fract_y
_atom_site_fract_z
Sr1 Sr 0.0000 0.0000 0.0000
Ce1 Ce 0.0000 0.0000 0.0936
Pb1 Pb 0.0000 0.0000 0.5000


# 8
# MnAl2Mo | Alexandria via LeMat-Bulk | PBE-GGA | optimized geometry
# - DFT formation energy: -0.118 eV/atom
data_MnAl2Mo
_symmetry_space_group_name_H-M 'C 1 m 1'
_symmetry_Int_Tables_number 8
_cell_length_a 10.061
_cell_length_b 2.723
_cell_length_c 4.741
_cell_angle_alpha 90.00
_cell_angle_beta 114.84
_cell_angle_gamma 90.00
loop_
_symmetry_equiv_pos_as_xyz
'x,y,z'
'x,-y,z'
'x+1/2,y+1/2,z'
'x+1/2,-y+1/2,z'
loop_
_atom_site_label
_atom_site_type_symbol
_atom_site_fract_x
_atom_site_fract_y
_atom_site_fract_z
Mn1 Mn 0.000 0.000 0.000
Al1 Al 0.004 0.500 0.504
Al2 Al 0.256 0.000 0.934
Mo1 Mo 0.255 0.500 0.435


# 9
# Zr5Tl3 | Alexandria via LeMat-Bulk | PBE-GGA | optimized geometry
# - DFT formation energy: -0.081 eV/atom
data_Zr5Tl3
_symmetry_space_group_name_H-M 'I 4/m c m'
_symmetry_Int_Tables_number 140
_symmetry_space_group_name_Hall '-I 4 2c'
_cell_length_a 11.445
_cell_length_b 11.445
_cell_length_c 5.662
_cell_angle_alpha 90.00
_cell_angle_beta 90.00
_cell_angle_gamma 90.00
loop_
_atom_site_label
_atom_site_type_symbol
_atom_site_fract_x
_atom_site_fract_y
_atom_site_fract_z
Zr1 Zr 0.000 0.500 0.250
Zr2 Zr 0.077 0.226 0.000
Tl1 Tl 0.000 0.000 0.250
Tl2 Tl 0.166 0.334 0.500


# 10
# Sc2CdCu | Alexandria via LeMat-Bulk | PBE-GGA | optimized geometry
# - DFT formation energy: -0.055 eV/atom
data_Sc2CdCu
_symmetry_space_group_name_H-M 'R -3 m'
_symmetry_Int_Tables_number 166
_symmetry_space_group_name_Hall '-R 3 2"'
_cell_length_a 3.3992
_cell_length_b 3.3992
_cell_length_c 25.7270
_cell_angle_alpha 90.00
_cell_angle_beta 90.00
_cell_angle_gamma 120.00
loop_
_atom_site_label
_atom_site_type_symbol
_atom_site_fract_x
_atom_site_fract_y
_atom_site_fract_z
Sc1 Sc 0.0000 0.0000 0.2394
Cd1 Cd 0.0000 0.0000 0.0000
Cu1 Cu 0.0000 0.0000 0.5000


# 11
# CsZn2SiPb | Alexandria via LeMat-Bulk | PBE-GGA | optimized geometry
# - Formation energy from raw total energies: 0.61 eV/atom
data_CsZn2SiPb
_symmetry_space_group_name_H-M 'P 4/m m m'
_symmetry_Int_Tables_number 123
_symmetry_space_group_name_Hall '-P 4 2'
_cell_length_a 4.971
_cell_length_b 4.971
_cell_length_c 6.330
_cell_angle_alpha 90.00
_cell_angle_beta 90.00
_cell_angle_gamma 90.00
loop_
_atom_site_label
_atom_site_type_symbol
_atom_site_fract_x
_atom_site_fract_y
_atom_site_fract_z
Cs1 Cs 0.000 0.000 0.000
Zn1 Zn 0.000 0.500 0.500
Si1 Si 0.000 0.000 0.500
Pb1 Pb 0.500 0.500 0.000